Entry 1:
Below is AsRuCSe2 after structural relaxation, with properties calculated at the PBE level.

Geometry as extended XYZ:
```
5
Lattice="4.316 0.000 0.000 0.000 4.316 0.000 0.000 0.000 4.162" Properties=species:S:1:pos:R:3 pbc="T T T"
Se 2.158 0.000 0.000
Se 0.000 2.158 0.000
Ru 2.158 2.158 2.081
C 0.000 0.000 0.000
As 0.000 0.000 2.081
```

- Total magnetization: 0.0 μB per formula unit
- E above lowest polymorph: 0 meV/atom
- Total energy: -4.780 eV/atom
- Crystal system: tetragonal


Entry 2:
Below is SmAl4Cu2Ni after structural relaxation, with properties calculated at the PBE level.

Geometry as extended XYZ:
```
8
Lattice="4.157 0.000 0.000 2.078 3.600 0.000 2.078 1.200 8.743" Properties=species:S:1:pos:R:3 pbc="T T T"
Sm 0.000 0.000 0.000
Al 4.157 2.400 1.939
Al 6.235 3.600 3.518
Al 2.078 1.200 5.225
Al 4.157 2.400 6.804
Cu 6.235 3.600 6.181
Cu 2.078 1.200 2.562
Ni 4.157 2.400 4.372
```

- Total magnetization: 0.0 μB per formula unit
- Total energy: -4.613 eV/atom
- Crystal system: trigonal
- Formation energy: -0.4047 eV per atom


Entry 3:
Below is Li4TmMg7 after structural relaxation, with properties calculated at the PBE level.

Geometry as extended XYZ:
```
12
Lattice="5.476 0.000 0.000 2.738 7.645 0.958 2.738 0.959 6.731" Properties=species:S:1:pos:R:3 pbc="T T T"
Li 5.476 5.810 3.150
Li 2.738 2.645 0.446
Li 5.476 2.794 4.539
Li 8.214 5.959 7.243
Mg 2.738 1.311 3.244
Mg 2.738 0.000 0.000
Mg 8.214 3.888 5.309
Mg 2.738 4.716 2.380
Mg 5.476 2.545 1.806
Mg 8.214 7.293 4.446
Mg 5.476 6.059 5.883
Tm 0.000 0.000 0.000
```

- Total magnetization: 0.0 μB per formula unit
- Total energy: -1.813 eV/atom
- Crystal system: monoclinic
- Formation energy: 0.1274 eV per atom


Entry 4:
Below is Na12Pb3Au after structural relaxation, with properties calculated at the PBE level.

Geometry as extended XYZ:
```
16
Lattice="4.874 0.000 0.000 0.000 4.874 0.000 0.000 0.000 19.523" Properties=species:S:1:pos:R:3 pbc="T T T"
Na 2.437 2.437 0.000
Na 2.437 0.000 17.322
Na 2.437 2.437 14.845
Na 0.000 2.437 2.202
Na 2.437 2.437 4.679
Na 2.437 0.000 2.202
Na 0.000 2.437 17.322
Na 0.000 2.437 7.222
Na 2.437 0.000 12.301
Na 2.437 0.000 7.222
Na 0.000 2.437 12.301
Na 2.437 2.437 9.762
Pb 0.000 0.000 14.807
Pb 0.000 0.000 4.716
Pb 0.000 0.000 9.762
Au 0.000 0.000 0.000
```

- Total magnetization: 0.0 μB per formula unit
- Total energy: -1.998 eV/atom
- Crystal system: tetragonal
- Formation energy: -0.1084 eV per atom